A relaxed MnNbPO2 crystal, computed with PBE+U.

Properties
- calculated volume (Å³/f.u.) = 68.99
- relative energy among the computed polymorphs (meV/atom) = 850
- total magnetization (μB/cell) = 4.66
- calculated density (g/cm3) = 5.07
- Fermi-level density of states (states/eV per atom) = 0.577

Cell and atoms, written as CIF:
```
data_MnNbPO2
_chemical_formula_sum 'Mn1 Nb1 P1 O2'
_cell_length_a 3.6989
_cell_length_b 3.6989
_cell_length_c 5.0424
_cell_angle_alpha 90.00
_cell_angle_beta 90.00
_cell_angle_gamma 90.00
_space_group_name_H-M_alt 'P 4/m m m'
_space_group_IT_number 123
_space_group_name_Hall '-P 4 2'
loop_
_atom_site_label
_atom_site_type_symbol
_atom_site_fract_x
_atom_site_fract_y
_atom_site_fract_z
Mn1 Mn 0.0000 0.0000 0.0000
Nb1 Nb 0.5000 0.5000 0.5000
P1 P 0.0000 0.0000 0.5000
O1 O 0.0000 0.5000 0.0000
```

A relaxed Mn2NbV3P6O24 crystal, computed with PBE+U.

Properties
- calculated volume (Å³/f.u.) = 468.98
- E (eV per cell) = -833.2
- total magnetization (μB/cell) = 48.00
- calculated density (g/cm3) = 3.28
- Fermi-level density of states (states/eV per atom) = 0.368

Cell and atoms, written as CIF:
```
data_Mn2NbV3P6O24
_chemical_formula_sum 'Mn6 Nb3 V9 P18 O72'
_cell_length_a 8.7166
_cell_length_b 8.7166
_cell_length_c 21.3820
_cell_angle_alpha 90.00
_cell_angle_beta 90.00
_cell_angle_gamma 120.00
_space_group_name_H-M_alt 'R 3'
_space_group_IT_number 146
_space_group_name_Hall 'R 3'
loop_
_atom_site_label
_atom_site_type_symbol
_atom_site_fract_x
_atom_site_fract_y
_atom_site_fract_z
Mn1 Mn 0.0000 0.0000 0.0000
Mn2 Mn 0.0000 0.0000 0.4973
Nb1 Nb 0.0000 0.0000 0.8518
V1 V 0.0000 0.0000 0.1415
V2 V 0.0000 0.0000 0.3536
V3 V 0.0000 0.0000 0.6391
P1 P 0.0000 0.2966 0.7440
P2 P 0.0031 0.7113 0.2470
O1 O 0.0073 0.1926 0.8037
O2 O 0.0142 0.8317 0.9167
O3 O 0.0232 0.1881 0.4202
O4 O 0.1371 0.4696 0.3528
O5 O 0.1385 0.6716 0.9737
O6 O 0.1406 0.6712 0.8539
O7 O 0.1661 0.4835 0.7418
O8 O 0.1668 0.6858 0.2414
```

A relaxed PaMn2NbO8 crystal, computed with PBE+U.

Properties
- calculated volume (Å³/f.u.) = 154.58
- E (eV per cell) = -202.0
- total magnetization (μB/cell) = 16.00
- calculated density (g/cm3) = 6.03
- Fermi-level density of states (states/eV per atom) = 0.358

Cell and atoms, written as CIF:
```
data_PaMn2NbO8
_chemical_formula_sum 'Pa2 Mn4 Nb2 O16'
_cell_length_a 6.7440
_cell_length_b 6.7440
_cell_length_c 6.7977
_cell_angle_alpha 90.00
_cell_angle_beta 90.00
_cell_angle_gamma 90.00
_space_group_name_H-M_alt 'I -4 m 2'
_space_group_IT_number 119
_space_group_name_Hall 'I -4 -2'
loop_
_atom_site_label
_atom_site_type_symbol
_atom_site_fract_x
_atom_site_fract_y
_atom_site_fract_z
Pa1 Pa 0.0000 0.0000 0.0000
Mn1 Mn 0.0000 0.0000 0.5000
Mn2 Mn 0.0000 0.5000 0.2500
Nb1 Nb 0.0000 0.5000 0.7500
O1 O 0.0000 0.2010 0.7021
O2 O 0.0000 0.3224 0.0352
```

A relaxed MnNbPb2O6 crystal, computed with PBE+U.

Properties
- calculated volume (Å³/f.u.) = 132.78
- E (eV per cell) = -144.0
- total magnetization (μB/cell) = 8.00
- calculated density (g/cm3) = 8.23
- Fermi-level density of states (states/eV per atom) = 0.040

Cell and atoms, written as CIF:
```
data_MnNbPb2O6
_chemical_formula_sum 'Mn2 Nb2 Pb4 O12'
_cell_length_a 5.8635
_cell_length_b 5.8036
_cell_length_c 9.7187
_cell_angle_alpha 90.00
_cell_angle_beta 126.59
_cell_angle_gamma 90.00
_space_group_name_H-M_alt 'P 1 21/c 1'
_space_group_IT_number 14
loop_
_space_group_symop_operation_xyz
'x,y,z'
'-x,-y,-z'
'-x,y+1/2,-z+1/2'
'x,-y+1/2,z+1/2'
loop_
_atom_site_label
_atom_site_type_symbol
_atom_site_fract_x
_atom_site_fract_y
_atom_site_fract_z
Mn1 Mn 0.0000 0.0000 0.0000
Nb1 Nb 0.5000 0.0000 0.5000
Pb1 Pb 0.2643 0.0013 0.7510
O1 O 0.1864 0.0005 0.2441
O2 O 0.2919 0.7433 0.0350
O3 O 0.2950 0.2464 0.5351
```

A relaxed MnNb2PbO8 crystal, computed with PBE+U.

Properties
- calculated volume (Å³/f.u.) = 158.31
- E (eV per cell) = -93.6
- total magnetization (μB/cell) = 2.96
- calculated density (g/cm3) = 6.04
- Fermi-level density of states (states/eV per atom) = 0.000

Cell and atoms, written as CIF:
```
data_MnNb2PbO8
_chemical_formula_sum 'Mn1 Nb2 Pb1 O8'
_cell_length_a 5.2665
_cell_length_b 5.2665
_cell_length_c 6.5908
_cell_angle_alpha 90.00
_cell_angle_beta 90.00
_cell_angle_gamma 120.00
_space_group_name_H-M_alt 'P -3'
_space_group_IT_number 147
loop_
_space_group_symop_operation_xyz
'x,y,z'
'-x,-y,-z'
'-y,x-y,z'
'y,-x+y,-z'
'-x+y,-x,z'
'x-y,x,-z'
loop_
_atom_site_label
_atom_site_type_symbol
_atom_site_fract_x
_atom_site_fract_y
_atom_site_fract_z
Mn1 Mn 0.0000 0.0000 0.0000
Nb1 Nb 0.3333 0.6667 0.8741
Pb1 Pb 0.0000 0.0000 0.5000
O1 O 0.0506 0.3363 0.1443
O2 O 0.3333 0.6667 0.6002
```

A relaxed MnNbPbO6 crystal, computed with PBE+U.

Properties
- calculated volume (Å³/f.u.) = 112.74
- E (eV per cell) = -131.4
- total magnetization (μB/cell) = 8.00
- calculated density (g/cm3) = 6.64
- Fermi-level density of states (states/eV per atom) = 0.110

Cell and atoms, written as CIF:
```
data_MnNbPbO6
_chemical_formula_sum 'Mn2 Nb2 Pb2 O12'
_cell_length_a 4.7977
_cell_length_b 4.7977
_cell_length_c 9.7959
_cell_angle_alpha 90.00
_cell_angle_beta 90.00
_cell_angle_gamma 90.00
_space_group_name_H-M_alt 'P 42 n m'
_space_group_IT_number 102
loop_
_space_group_symop_operation_xyz
'x,y,z'
'-y+1/2,x+1/2,z+1/2'
'-x,-y,z'
'y+1/2,-x+1/2,z+1/2'
'-x+1/2,y+1/2,z+1/2'
'y,x,z'
'x+1/2,-y+1/2,z+1/2'
'-y,-x,z'
loop_
_atom_site_label
_atom_site_type_symbol
_atom_site_fract_x
_atom_site_fract_y
_atom_site_fract_z
Mn1 Mn 0.0000 0.0000 0.0000
Nb1 Nb 0.0000 0.0000 0.3366
Pb1 Pb 0.0000 0.0000 0.6713
O1 O 0.1827 0.1827 0.1749
O2 O 0.2053 0.2053 0.8442
O3 O 0.2082 0.2082 0.4895
```

A relaxed PmMnNbO6 crystal, computed with PBE+U.

Properties
- calculated volume (Å³/f.u.) = 114.55
- E (eV per cell) = -145.8
- total magnetization (μB/cell) = 6.01
- calculated density (g/cm3) = 5.64

Cell and atoms, written as CIF:
```
data_PmMnNbO6
_chemical_formula_sum 'Pm2 Mn2 Nb2 O12'
_cell_length_a 4.8761
_cell_length_b 4.8761
_cell_length_c 9.6356
_cell_angle_alpha 90.00
_cell_angle_beta 90.00
_cell_angle_gamma 90.00
_space_group_name_H-M_alt 'P 42 n m'
_space_group_IT_number 102
loop_
_space_group_symop_operation_xyz
'x,y,z'
'-y+1/2,x+1/2,z+1/2'
'-x,-y,z'
'y+1/2,-x+1/2,z+1/2'
'-x+1/2,y+1/2,z+1/2'
'y,x,z'
'x+1/2,-y+1/2,z+1/2'
'-y,-x,z'
loop_
_atom_site_label
_atom_site_type_symbol
_atom_site_fract_x
_atom_site_fract_y
_atom_site_fract_z
Pm1 Pm 0.0000 0.0000 0.0000
Mn1 Mn 0.0000 0.0000 0.3282
Nb1 Nb 0.0000 0.0000 0.6652
O1 O 0.1700 0.1700 0.4869
O2 O 0.2075 0.2075 0.1851
O3 O 0.2146 0.2146 0.8025
```

A relaxed MnNbPtO6 crystal, computed with PBE+U.

Properties
- calculated volume (Å³/f.u.) = 100.71
- E (eV per cell) = -132.5
- total magnetization (μB/cell) = 4.02
- calculated density (g/cm3) = 7.24

Cell and atoms, written as CIF:
```
data_MnNbPtO6
_chemical_formula_sum 'Mn2 Nb2 Pt2 O12'
_cell_length_a 4.6847
_cell_length_b 4.6847
_cell_length_c 9.1778
_cell_angle_alpha 90.00
_cell_angle_beta 90.00
_cell_angle_gamma 90.00
_space_group_name_H-M_alt 'P 42 n m'
_space_group_IT_number 102
loop_
_space_group_symop_operation_xyz
'x,y,z'
'-y+1/2,x+1/2,z+1/2'
'-x,-y,z'
'y+1/2,-x+1/2,z+1/2'
'-x+1/2,y+1/2,z+1/2'
'y,x,z'
'x+1/2,-y+1/2,z+1/2'
'-y,-x,z'
loop_
_atom_site_label
_atom_site_type_symbol
_atom_site_fract_x
_atom_site_fract_y
_atom_site_fract_z
Mn1 Mn 0.0000 0.0000 0.0000
Nb1 Nb 0.0000 0.0000 0.3277
Pt1 Pt 0.0000 0.0000 0.6636
O1 O 0.1907 0.1907 0.8355
O2 O 0.1968 0.1968 0.1664
O3 O 0.2022 0.2022 0.4930
```

A relaxed PuMnNbO6 crystal, computed with PBE+U.

Properties
- calculated volume (Å³/f.u.) = 119.90
- E (eV per cell) = -166.0
- total magnetization (μB/cell) = 16.00
- calculated density (g/cm3) = 6.76
- Fermi-level density of states (states/eV per atom) = 0.904

Cell and atoms, written as CIF:
```
data_PuMnNbO6
_chemical_formula_sum 'Pu2 Mn2 Nb2 O12'
_cell_length_a 5.5006
_cell_length_b 5.5006
_cell_length_c 9.1520
_cell_angle_alpha 90.00
_cell_angle_beta 90.00
_cell_angle_gamma 120.00
_space_group_name_H-M_alt 'P -3 1 c'
_space_group_IT_number 163
_space_group_name_Hall '-P 3 2c'
loop_
_atom_site_label
_atom_site_type_symbol
_atom_site_fract_x
_atom_site_fract_y
_atom_site_fract_z
Pu1 Pu 0.3333 0.6667 0.2500
Mn1 Mn 0.0000 0.0000 0.0000
Nb1 Nb 0.3333 0.6667 0.7500
O1 O 0.0155 0.3573 0.6335
```

A relaxed RbMnNb2O8 crystal, computed with PBE+U.

Properties
- calculated volume (Å³/f.u.) = 187.11
- E (eV per cell) = -91.4
- total magnetization (μB/cell) = 1.93
- calculated density (g/cm3) = 4.03
- Fermi-level density of states (states/eV per atom) = 0.559

Cell and atoms, written as CIF:
```
data_RbMnNb2O8
_chemical_formula_sum 'Rb1 Mn1 Nb2 O8'
_cell_length_a 5.3856
_cell_length_b 5.3856
_cell_length_c 7.4490
_cell_angle_alpha 90.00
_cell_angle_beta 90.00
_cell_angle_gamma 120.00
_space_group_name_H-M_alt 'P -3'
_space_group_IT_number 147
loop_
_space_group_symop_operation_xyz
'x,y,z'
'-x,-y,-z'
'-y,x-y,z'
'y,-x+y,-z'
'-x+y,-x,z'
'x-y,x,-z'
loop_
_atom_site_label
_atom_site_type_symbol
_atom_site_fract_x
_atom_site_fract_y
_atom_site_fract_z
Rb1 Rb 0.0000 0.0000 0.0000
Mn1 Mn 0.0000 0.0000 0.5000
Nb1 Nb 0.3333 0.6667 0.4038
O1 O 0.0480 0.3412 0.6182
O2 O 0.3333 0.6667 0.1608
```

A relaxed RbMnNbO2 crystal, computed with PBE+U.

Properties
- calculated volume (Å³/f.u.) = 77.74
- E (eV per cell) = -24.7
- total magnetization (μB/cell) = 2.86
- calculated density (g/cm3) = 5.67
- Fermi-level density of states (states/eV per atom) = 0.587

Cell and atoms, written as CIF:
```
data_RbMnNbO2
_chemical_formula_sum 'Rb1 Mn1 Nb1 O2'
_cell_length_a 4.2041
_cell_length_b 4.2041
_cell_length_c 4.3985
_cell_angle_alpha 90.00
_cell_angle_beta 90.00
_cell_angle_gamma 90.00
_space_group_name_H-M_alt 'P 4/m m m'
_space_group_IT_number 123
_space_group_name_Hall '-P 4 2'
loop_
_atom_site_label
_atom_site_type_symbol
_atom_site_fract_x
_atom_site_fract_y
_atom_site_fract_z
Rb1 Rb 0.0000 0.0000 0.0000
Mn1 Mn 0.5000 0.5000 0.5000
Nb1 Nb 0.5000 0.5000 0.0000
O1 O 0.0000 0.5000 0.5000
```

A relaxed RbMnNbO4 crystal, computed with PBE+U.

Properties
- calculated volume (Å³/f.u.) = 150.54
- E (eV per cell) = -106.9
- total magnetization (μB/cell) = 10.00
- calculated density (g/cm3) = 3.28
- Fermi-level density of states (states/eV per atom) = 0.000

Cell and atoms, written as CIF:
```
data_RbMnNbO4
_chemical_formula_sum 'Rb2 Mn2 Nb2 O8'
_cell_length_a 5.8337
_cell_length_b 6.1326
_cell_length_c 8.4242
_cell_angle_alpha 90.00
_cell_angle_beta 92.54
_cell_angle_gamma 90.00
_space_group_name_H-M_alt 'P 1 21/m 1'
_space_group_IT_number 11
loop_
_space_group_symop_operation_xyz
'x,y,z'
'-x,-y,-z'
'-x,y+1/2,-z'
'x,-y+1/2,z'
loop_
_atom_site_label
_atom_site_type_symbol
_atom_site_fract_x
_atom_site_fract_y
_atom_site_fract_z
Rb1 Rb 0.1991 0.2500 0.4607
Mn1 Mn 0.1209 0.2500 0.9771
Nb1 Nb 0.3286 0.7500 0.2255
O1 O 0.1618 0.5107 0.1350
O2 O 0.2899 0.7500 0.4409
O3 O 0.3555 0.2500 0.8057
```